Tb2PmPrS4: relaxed, GGA-PBE.

- DFT total energy (eV/atom) = -6.432
- density (Mg/m³) = 6.7
- formation energy without anion corrections (eV per atom) = -2.02

CIF file:
```
data_Tb2PmPrS4
_chemical_formula_sum 'Tb2 Pm1 Pr1 S4'
_space_group_name_H-M_alt 'P 1 2/m 1'
_space_group_IT_number 10
_cell_length_a 6.898
_cell_length_b 3.949
_cell_length_c 7.018
_cell_angle_alpha 90.00
_cell_angle_beta 108.85
_cell_angle_gamma 90.00
loop_
_space_group_symop_operation_xyz
'x,y,z'
'-x,-y,-z'
'-x,y,-z'
'x,-y,z'
loop_
_atom_site_label
_atom_site_type_symbol
_atom_site_fract_x
_atom_site_fract_y
_atom_site_fract_z
Tb1 Tb 0.000 0.000 0.000
Tb2 Tb 0.500 0.500 0.000
Pm1 Pm 0.000 0.500 0.500
Pr1 Pr 0.500 0.000 0.500
S1 S 0.242 0.500 0.235
S2 S 0.252 0.000 0.763
```

Cs2TbAlO4: relaxed, GGA-PBE.

- DFT total energy (eV/atom) = -6.020
- density (Mg/m³) = 4.1
- formation energy without anion corrections (eV per atom) = -2.28

CIF file:
```
data_Cs2TbAlO4
_chemical_formula_sum 'Cs16 Tb8 Al8 O32'
_space_group_name_H-M_alt 'F d d d'
_space_group_IT_number 70
_cell_length_a 5.576
_cell_length_b 12.785
_cell_length_c 23.714
_cell_angle_alpha 90.00
_cell_angle_beta 90.00
_cell_angle_gamma 90.00
loop_
_space_group_symop_operation_xyz
'x,y,z'
'-x,-y,-z'
'-x+1/4,-y+1/4,z'
'x+1/4,y+1/4,-z'
'x,-y+1/4,-z+1/4'
'-x,y+1/4,z+1/4'
'-x+1/4,y,-z+1/4'
'x+1/4,-y,z+1/4'
'x,y+1/2,z+1/2'
'-x,-y+1/2,-z+1/2'
'-x+1/4,-y+3/4,z+1/2'
'x+1/4,y+3/4,-z+1/2'
'x,-y+3/4,-z+3/4'
'-x,y+3/4,z+3/4'
'-x+1/4,y+1/2,-z+3/4'
'x+1/4,-y+1/2,z+3/4'
'x+1/2,y,z+1/2'
'-x+1/2,-y,-z+1/2'
'-x+3/4,-y+1/4,z+1/2'
'x+3/4,y+1/4,-z+1/2'
'x+1/2,-y+1/4,-z+3/4'
'-x+1/2,y+1/4,z+3/4'
'-x+3/4,y,-z+3/4'
'x+3/4,-y,z+3/4'
'x+1/2,y+1/2,z'
'-x+1/2,-y+1/2,-z'
'-x+3/4,-y+3/4,z'
'x+3/4,y+3/4,-z'
'x+1/2,-y+3/4,-z+1/4'
'-x+1/2,y+3/4,z+1/4'
'-x+3/4,y+1/2,-z+1/4'
'x+3/4,-y+1/2,z+1/4'
loop_
_atom_site_label
_atom_site_type_symbol
_atom_site_fract_x
_atom_site_fract_y
_atom_site_fract_z
Cs1 Cs 0.125 0.125 0.305
Tb1 Tb 0.125 0.125 0.125
Al1 Al 0.125 0.125 0.625
O1 O 0.082 0.293 0.836
```

Mg2SnAu: relaxed, GGA-PBE.

- DFT total energy (eV/atom) = -2.996
- density (Mg/m³) = 7.2
- formation energy from the elements (eV per atom) = -0.379

CIF file:
```
data_Mg2SnAu
_chemical_formula_sum 'Mg2 Sn1 Au1'
_space_group_name_H-M_alt 'P 4/m m m'
_space_group_IT_number 123
_space_group_name_Hall '-P 4 2'
_cell_length_a 3.378
_cell_length_b 3.378
_cell_length_c 7.376
_cell_angle_alpha 90.00
_cell_angle_beta 90.00
_cell_angle_gamma 90.00
loop_
_atom_site_label
_atom_site_type_symbol
_atom_site_fract_x
_atom_site_fract_y
_atom_site_fract_z
Mg1 Mg 0.000 0.000 0.209
Sn1 Sn 0.500 0.500 0.500
Au1 Au 0.500 0.500 0.000
```

TbDy12Er2: relaxed, GGA-PBE.

- DFT total energy (eV/atom) = -4.481
- density (Mg/m³) = 8.6
- formation energy from the elements (eV per atom) = 0.117

CIF file:
```
data_TbDy12Er2
_chemical_formula_sum 'Tb1 Dy12 Er2'
_space_group_name_H-M_alt 'P 1 2/m 1'
_space_group_IT_number 10
_cell_length_a 3.537
_cell_length_b 5.547
_cell_length_c 24.228
_cell_angle_alpha 90.00
_cell_angle_beta 93.94
_cell_angle_gamma 90.00
loop_
_space_group_symop_operation_xyz
'x,y,z'
'-x,-y,-z'
'-x,y,-z'
'x,-y,z'
loop_
_atom_site_label
_atom_site_type_symbol
_atom_site_fract_x
_atom_site_fract_y
_atom_site_fract_z
Tb1 Tb 0.000 0.000 0.000
Dy1 Dy 0.071 0.000 0.138
Dy2 Dy 0.101 0.500 0.202
Dy3 Dy 0.167 0.500 0.330
Dy4 Dy 0.216 0.000 0.425
Dy5 Dy 0.275 0.500 0.555
Dy6 Dy 0.461 0.500 0.926
Er1 Er 0.364 0.000 0.729
```

PrIn2GaCl6: relaxed, GGA-PBE.

- DFT total energy (eV/atom) = -3.812
- density (Mg/m³) = 3.1
- formation energy without anion corrections (eV per atom) = -1.38

CIF file:
```
data_PrIn2GaCl6
_chemical_formula_sum 'Pr3 In6 Ga3 Cl18'
_space_group_name_H-M_alt 'R 3'
_space_group_IT_number 146
_space_group_name_Hall 'R 3'
_cell_length_a 7.8044
_cell_length_b 7.8044
_cell_length_c 19.6881
_cell_angle_alpha 90.00
_cell_angle_beta 90.00
_cell_angle_gamma 120.00
loop_
_atom_site_label
_atom_site_type_symbol
_atom_site_fract_x
_atom_site_fract_y
_atom_site_fract_z
Pr1 Pr 0.0000 0.0000 0.0000
In1 In 0.0000 0.0000 0.2940
In2 In 0.0000 0.0000 0.7893
Ga1 Ga 0.0000 0.0000 0.5071
Cl1 Cl 0.0737 0.3355 0.0701
Cl2 Cl 0.0801 0.7058 0.5749
```

Zr6Hg5Pb: relaxed, GGA-PBE.

- DFT total energy (eV/atom) = -4.887
- density (Mg/m³) = 11.1
- formation energy from the elements (eV per atom) = -0.178

CIF file:
```
data_Zr6Hg5Pb
_chemical_formula_sum 'Zr12 Hg10 Pb2'
_space_group_name_H-M_alt 'C m m m'
_space_group_IT_number 65
_space_group_name_Hall '-C 2 2'
_cell_length_a 4.517
_cell_length_b 13.594
_cell_length_c 8.566
_cell_angle_alpha 90.00
_cell_angle_beta 90.00
_cell_angle_gamma 90.00
loop_
_atom_site_label
_atom_site_type_symbol
_atom_site_fract_x
_atom_site_fract_y
_atom_site_fract_z
Zr1 Zr 0.000 0.000 0.247
Zr2 Zr 0.000 0.333 0.247
Hg1 Hg 0.000 0.167 0.000
Hg2 Hg 0.000 0.171 0.500
Hg3 Hg 0.000 0.500 0.000
Pb1 Pb 0.000 0.500 0.500
```

CeDyThAl: relaxed, GGA-PBE.

- DFT total energy (eV/atom) = -5.409
- density (Mg/m³) = 8.7
- formation energy from the elements (eV per atom) = 0.015

CIF file:
```
data_CeDyThAl
_chemical_formula_sum 'Ce4 Dy4 Th4 Al4'
_space_group_name_H-M_alt 'F -4 3 m'
_space_group_IT_number 216
_space_group_name_Hall 'F -4 2 3'
_cell_length_a 7.554
_cell_length_b 7.554
_cell_length_c 7.554
_cell_angle_alpha 90.00
_cell_angle_beta 90.00
_cell_angle_gamma 90.00
loop_
_atom_site_label
_atom_site_type_symbol
_atom_site_fract_x
_atom_site_fract_y
_atom_site_fract_z
Ce1 Ce 0.000 0.000 0.000
Dy1 Dy 0.250 0.250 0.750
Th1 Th 0.250 0.250 0.250
Al1 Al 0.000 0.000 0.500
```

Dy2Be4Pt3Au: relaxed, GGA-PBE.

- DFT total energy (eV/atom) = -5.336
- density (Mg/m³) = 12.1
- formation energy from the elements (eV per atom) = -0.785

CIF file:
```
data_Dy2Be4Pt3Au
_chemical_formula_sum 'Dy2 Be4 Pt3 Au1'
_space_group_name_H-M_alt 'P -4 m 2'
_space_group_IT_number 115
_cell_length_a 4.079
_cell_length_b 4.079
_cell_length_c 9.406
_cell_angle_alpha 90.00
_cell_angle_beta 90.00
_cell_angle_gamma 90.00
loop_
_space_group_symop_operation_xyz
'x,y,z'
'y,-x,-z'
'-x,-y,z'
'-y,x,-z'
'-x,y,z'
'-y,-x,-z'
'x,-y,z'
'y,x,-z'
loop_
_atom_site_label
_atom_site_type_symbol
_atom_site_fract_x
_atom_site_fract_y
_atom_site_fract_z
Dy1 Dy 0.000 0.500 0.245
Be1 Be 0.000 0.000 0.000
Be2 Be 0.000 0.500 0.630
Be3 Be 0.500 0.500 0.000
Pt1 Pt 0.000 0.500 0.877
Pt2 Pt 0.500 0.500 0.500
Au1 Au 0.000 0.000 0.500
```

Copy entry 7 word for word.
CeDyThAl: relaxed, GGA-PBE.

- DFT total energy (eV/atom) = -5.409
- density (Mg/m³) = 8.7
- formation energy from the elements (eV per atom) = 0.015

CIF file:
```
data_CeDyThAl
_chemical_formula_sum 'Ce4 Dy4 Th4 Al4'
_space_group_name_H-M_alt 'F -4 3 m'
_space_group_IT_number 216
_space_group_name_Hall 'F -4 2 3'
_cell_length_a 7.554
_cell_length_b 7.554
_cell_length_c 7.554
_cell_angle_alpha 90.00
_cell_angle_beta 90.00
_cell_angle_gamma 90.00
loop_
_atom_site_label
_atom_site_type_symbol
_atom_site_fract_x
_atom_site_fract_y
_atom_site_fract_z
Ce1 Ce 0.000 0.000 0.000
Dy1 Dy 0.250 0.250 0.750
Th1 Th 0.250 0.250 0.250
Al1 Al 0.000 0.000 0.500
```